# 1
Entry from the Alexandria database: a geometry-optimized YSc3Pt structure (PBE-GGA).

Output
Total magnetic moment (Bohr magnetons per cell): 0.000
Polymorph energy (0 for the lowest one) (meV per atom): 1369
Formation energy (eV per atom): 1.034
N(E_F) (states/eV per atom): 0.46

Cell: 4.955 4.955 4.955 Å, 90.00 90.00 90.00°
Positions (direct):
Y 0.000 0.000 0.000
Sc 0.000 0.000 0.500
Sc 0.000 0.500 0.000
Sc 0.500 0.000 0.000
Pt 0.500 0.500 0.500


# 2
Entry from the Alexandria database: a geometry-optimized YScPt2 structure (PBE-GGA).

Output
Total magnetic moment (Bohr magnetons per cell): 0.000
Polymorph energy (0 for the lowest one) (meV per atom): 34
Formation energy (eV per atom): -1.179
N(E_F) (states/eV per atom): 0.70

Cell: 6.817 6.817 6.817 Å, 90.00 90.00 90.00°
Positions (direct):
Y 0.000 0.000 0.000
Y 0.000 0.500 0.500
Y 0.500 0.000 0.500
Y 0.500 0.500 0.000
Sc 0.000 0.000 0.500
Sc 0.000 0.500 0.000
Sc 0.500 0.000 0.000
Sc 0.500 0.500 0.500
Pt 0.250 0.250 0.250
Pt 0.250 0.250 0.750
Pt 0.250 0.750 0.250
Pt 0.250 0.750 0.750
Pt 0.750 0.250 0.250
Pt 0.750 0.250 0.750
Pt 0.750 0.750 0.250
Pt 0.750 0.750 0.750


# 3
Entry from the Alexandria database: a geometry-optimized YSc4Pt structure (PBE-GGA).

Output
Total magnetic moment (Bohr magnetons per cell): 0.058
Formation energy (eV per atom): 0.123
N(E_F) (states/eV per atom): 1.69

Cell: 5.813 5.813 5.813 Å, 60.00 60.00 60.00°
Positions (direct):
Y 0.000 0.000 0.000
Sc 0.375 0.375 0.375
Sc 0.375 0.375 0.874
Sc 0.375 0.874 0.375
Sc 0.874 0.375 0.375
Pt 0.750 0.750 0.750


# 4
Entry from the Alexandria database: a geometry-optimized YScPt2 structure (PBE-GGA).

Output
Total magnetic moment (Bohr magnetons per cell): 0.000
Polymorph energy (0 for the lowest one) (meV per atom): 12
Formation energy (eV per atom): -1.202
N(E_F) (states/eV per atom): 0.90

Cell: 4.468 3.602 10.300 Å, 90.00 90.00 90.00°
Positions (direct):
Y 0.000 0.000 0.000
Y 0.000 0.500 0.500
Sc 0.500 0.000 0.279
Sc 0.500 0.500 0.779
Pt 0.000 0.000 0.730
Pt 0.000 0.500 0.230
Pt 0.500 0.000 0.555
Pt 0.500 0.500 0.055


# 5
Entry from the Alexandria database: a geometry-optimized YScPt6 structure (PBE-GGA).

Output
Total magnetic moment (Bohr magnetons per cell): 0.000
Formation energy (eV per atom): -1.028
N(E_F) (states/eV per atom): 0.86

Cell: 4.070 4.070 8.129 Å, 90.00 90.00 90.00°
Positions (direct):
Y 0.000 0.000 0.000
Sc 0.000 0.000 0.500
Pt 0.000 0.500 0.259
Pt 0.000 0.500 0.741
Pt 0.500 0.000 0.259
Pt 0.500 0.000 0.741
Pt 0.500 0.500 0.000
Pt 0.500 0.500 0.500


# 6
Entry from the Alexandria database: a geometry-optimized YScPt2 structure (PBE-GGA).

Output
Total magnetic moment (Bohr magnetons per cell): 0.000
Polymorph energy (0 for the lowest one) (meV per atom): 0
Formation energy (eV per atom): -1.213
N(E_F) (states/eV per atom): 0.74

Cell: 5.767 4.564 6.573 Å, 90.00 111.37 90.00°
Positions (direct):
Y 0.172 0.250 0.391
Y 0.828 0.750 0.609
Sc 0.368 0.750 0.108
Sc 0.632 0.250 0.892
Pt 0.116 0.250 0.892
Pt 0.364 0.750 0.702
Pt 0.636 0.250 0.298
Pt 0.884 0.750 0.108


# 7
Entry from the Alexandria database: a geometry-optimized YSc3Pt2 structure (PBE-GGA).

Output
Total magnetic moment (Bohr magnetons per cell): 0.000
Formation energy (eV per atom): -0.983
N(E_F) (states/eV per atom): 1.11

Cell: 4.543 8.375 6.818 Å, 90.00 90.00 90.00°
Positions (direct):
Y 0.000 0.074 0.000
Y 0.000 0.926 0.500
Sc 0.000 0.333 0.631
Sc 0.000 0.667 0.131
Sc 0.500 0.185 0.343
Sc 0.500 0.424 0.971
Sc 0.500 0.576 0.471
Sc 0.500 0.815 0.843
Pt 0.000 0.353 0.236
Pt 0.000 0.647 0.736
Pt 0.500 0.156 0.735
Pt 0.500 0.844 0.235


# 8
Entry from the Alexandria database: a geometry-optimized YSc2Pt4 structure (PBE-GGA).

Output
Total magnetic moment (Bohr magnetons per cell): 0.000
Formation energy (eV per atom): -1.110
N(E_F) (states/eV per atom): 0.53

Cell: 4.628 4.628 13.855 Å, 90.00 90.00 115.85°
Positions (direct):
Y 0.029 0.971 0.750
Y 0.971 0.029 0.250
Sc 0.336 0.664 0.564
Sc 0.336 0.664 0.936
Sc 0.664 0.336 0.064
Sc 0.664 0.336 0.436
Pt 0.000 0.000 0.000
Pt 0.000 0.000 0.500
Pt 0.308 0.692 0.131
Pt 0.308 0.692 0.369
Pt 0.385 0.615 0.750
Pt 0.615 0.385 0.250
Pt 0.692 0.308 0.631
Pt 0.692 0.308 0.869


# 9
Entry from the Alexandria database: a geometry-optimized Y2ScPt2 structure (PBE-GGA).

Output
Total magnetic moment (Bohr magnetons per cell): 0.000
Polymorph energy (0 for the lowest one) (meV per atom): 334
Formation energy (eV per atom): -0.724
N(E_F) (states/eV per atom): 0.89

Cell: 8.225 8.225 3.314 Å, 90.00 90.00 90.00°
Positions (direct):
Y 0.142 0.358 0.000
Y 0.358 0.858 0.000
Y 0.642 0.142 0.000
Y 0.858 0.642 0.000
Sc 0.000 0.000 0.000
Sc 0.500 0.500 0.000
Pt 0.159 0.659 0.500
Pt 0.341 0.159 0.500
Pt 0.659 0.841 0.500
Pt 0.841 0.341 0.500


# 10
Entry from the Alexandria database: a geometry-optimized YScPt2 structure (PBE-GGA).

Output
Total magnetic moment (Bohr magnetons per cell): 0.000
Polymorph energy (0 for the lowest one) (meV per atom): 11
Formation energy (eV per atom): -1.202
N(E_F) (states/eV per atom): 0.66

Cell: 3.348 3.348 7.017 Å, 90.00 90.00 90.00°
Positions (direct):
Y 0.000 0.000 0.000
Sc 0.000 0.000 0.500
Pt 0.500 0.500 0.274
Pt 0.500 0.500 0.726


# 11
Entry from the Alexandria database: a geometry-optimized YSc2Pt2 structure (PBE-GGA).

Output
Total magnetic moment (Bohr magnetons per cell): 0.000
Polymorph energy (0 for the lowest one) (meV per atom): 431
Formation energy (eV per atom): -0.577
N(E_F) (states/eV per atom): 1.57

Cell: 4.157 4.157 13.218 Å, 90.00 90.00 90.00°
Positions (direct):
Y 0.000 0.000 0.000
Y 0.500 0.500 0.500
Sc 0.000 0.000 0.375
Sc 0.000 0.000 0.625
Sc 0.500 0.500 0.125
Sc 0.500 0.500 0.875
Pt 0.000 0.500 0.250
Pt 0.000 0.500 0.750
Pt 0.500 0.000 0.250
Pt 0.500 0.000 0.750


# 12
Entry from the Alexandria database: a geometry-optimized YScPt2 structure (PBE-GGA).

Output
Total magnetic moment (Bohr magnetons per cell): 0.000
Polymorph energy (0 for the lowest one) (meV per atom): 1180
Formation energy (eV per atom): -0.034
N(E_F) (states/eV per atom): 0.78

Cell: 3.030 5.198 10.535 Å, 90.00 90.00 90.00°
Positions (direct):
Y 0.000 0.000 0.000
Y 0.500 0.500 0.500
Sc 0.000 0.000 0.500
Sc 0.500 0.500 0.000
Pt 0.000 0.000 0.262
Pt 0.000 0.000 0.738
Pt 0.500 0.500 0.238
Pt 0.500 0.500 0.762


# 13
Entry from the Alexandria database: a geometry-optimized Y2ScPt2 structure (PBE-GGA).

Output
Total magnetic moment (Bohr magnetons per cell): 0.000
Polymorph energy (0 for the lowest one) (meV per atom): 0
Formation energy (eV per atom): -1.058
N(E_F) (states/eV per atom): 0.51

Cell: 7.412 7.412 4.144 Å, 90.00 90.00 90.00°
Positions (direct):
Y 0.166 0.334 0.000
Y 0.334 0.834 0.000
Y 0.666 0.166 0.000
Y 0.834 0.666 0.000
Sc 0.000 0.000 0.500
Sc 0.500 0.500 0.500
Pt 0.140 0.640 0.500
Pt 0.360 0.140 0.500
Pt 0.640 0.860 0.500
Pt 0.860 0.360 0.500